(1)
Density functional theory data (PBE) for a geometry-optimized LiCa2Cu6Ni structure.

Properties
For the size of the total moment, the calculation gives 0.000 μB/f.u. The calculation puts the density of states at the Fermi level at 3.03 states/eV per cell. The calculated formation energy is -23.4 meV per atom.

a = 6.427 Å, b = 6.427 Å, c = 8.417 Å
α = 129.82°, β = 129.82°, γ = 44.64°
Fractional positions:
1 Li 0.000 0.000 0.000
2 Ca 0.462 0.462 0.227
3 Ca 0.538 0.538 0.773
4 Cu 0.005 0.505 0.266
5 Cu 0.172 0.172 0.423
6 Cu 0.495 0.995 0.734
7 Cu 0.505 0.005 0.266
8 Cu 0.828 0.828 0.577
9 Cu 0.995 0.495 0.734
10 Ni 0.000 0.000 0.500

***

(2)
Density functional theory data (PBE) for a geometry-optimized LiCaCuO2 structure.

Properties
For the size of the total moment, the calculation gives 0.000 μB/f.u. The calculation puts the density of states at the Fermi level at 0.00 states/eV per cell.

a = 6.056 Å, b = 6.056 Å, c = 4.237 Å
α = 90.00°, β = 90.00°, γ = 130.36°
Fractional positions:
1 Li 0.250 0.250 0.000
2 Li 0.750 0.750 0.000
3 Ca 0.250 0.750 0.762
4 Ca 0.750 0.250 0.238
5 Cu 0.000 0.000 0.500
6 Cu 0.500 0.500 0.500
7 O 0.125 0.875 0.210
8 O 0.375 0.625 0.210
9 O 0.625 0.375 0.790
10 O 0.875 0.125 0.790

***

(3)
Density functional theory data (PBE) for a geometry-optimized LiCa2Cu3P4 structure.

Properties
For the size of the total moment, the calculation gives 0.000 μB/f.u. The calculation puts the density of states at the Fermi level at 4.50 states/eV per cell. The calculated formation energy is -608.0 meV per atom.

a = 4.036 Å, b = 4.036 Å, c = 9.969 Å
α = 90.00°, β = 90.00°, γ = 90.00°
Fractional positions:
1 Li 0.000 0.000 0.000
2 Ca 0.000 0.500 0.755
3 Ca 0.500 0.000 0.245
4 Cu 0.000 0.500 0.371
5 Cu 0.500 0.000 0.629
6 Cu 0.500 0.500 0.000
7 P 0.000 0.000 0.500
8 P 0.000 0.500 0.139
9 P 0.500 0.000 0.861
10 P 0.500 0.500 0.500

***

(4)
Density functional theory data (PBE) for a geometry-optimized Li2CaCu2P2 structure.

Properties
For the size of the total moment, the calculation gives 0.000 μB/f.u. The calculation puts the density of states at the Fermi level at 1.04 states/eV per cell. The calculated formation energy is -705.0 meV per atom.

a = 8.118 Å, b = 8.118 Å, c = 8.118 Å
α = 28.70°, β = 28.70°, γ = 28.70°
Fractional positions:
1 Li 0.139 0.139 0.139
2 Li 0.861 0.861 0.861
3 Ca 0.000 0.000 0.000
4 Cu 0.424 0.424 0.424
5 Cu 0.576 0.576 0.576
6 P 0.249 0.249 0.249
7 P 0.751 0.751 0.751

***

Record-wise VASP energy values, in eV per atom: -3.6509, -5.2345, -4.5925, -4.2538